Record 1
Entry from Alexandria: a relaxed structure of Re2SeI (PBE-GGA).

Calculated volume in Å³ per atom: 23.6
Raw formation energy in eV/atom: 1.29

a = 5.694 Å, b = 5.694 Å, c = 7.073 Å
α = 66.26°, β = 66.26°, γ = 90.00°
Fractional positions:
Se  0.500  0.500  0.000
Se  0.250  0.750  0.500
I  0.750  0.250  0.500
I  0.000  0.000  0.000
Re  0.375  0.404  0.750
Re  0.875  0.846  0.750
Re  0.154  0.625  0.250
Re  0.596  0.125  0.250

Record 2
Entry from Alexandria: a relaxed structure of Re2Se4I3 (PBE-GGA).

Calculated volume in Å³ per atom: 33.0
Raw formation energy in eV/atom: -0.09

a = 6.620 Å, b = 10.393 Å, c = 10.393 Å
α = 59.78°, β = 103.66°, γ = 103.66°
Fractional positions:
I  0.432  0.738  0.932
I  0.932  0.932  0.738
I  0.568  0.262  0.068
I  0.068  0.068  0.262
I  0.250  0.745  0.255
I  0.750  0.255  0.745
Se  0.841  0.263  0.387
Se  0.426  0.098  0.605
Se  0.341  0.387  0.263
Se  0.659  0.613  0.737
Se  0.074  0.395  0.902
Se  0.159  0.737  0.613
Se  0.926  0.605  0.098
Se  0.574  0.902  0.395
Re  0.997  0.369  0.133
Re  0.003  0.631  0.867
Re  0.503  0.867  0.631
Re  0.497  0.133  0.369

Record 3
Entry from Alexandria: a relaxed structure of ReSe3I (PBE-GGA).

Calculated volume in Å³ per atom: 28.7
Raw formation energy in eV/atom: 0.09

a = 6.678 Å, b = 6.677 Å, c = 8.382 Å
α = 89.99°, β = 66.49°, γ = 60.00°
Fractional positions:
Se  0.355  0.030  0.530
Se  0.577  0.166  0.949
Se  0.072  0.672  0.949
Se  0.355  0.525  0.530
Se  0.850  0.030  0.530
Se  0.071  0.166  0.949
I  0.918  0.496  0.431
I  0.508  0.701  0.048
Re  0.052  0.929  0.732
Re  0.375  0.267  0.747

Record 4
Entry from Alexandria: a relaxed structure of ReSe2I (PBE-GGA).

Calculated volume in Å³ per atom: 27.5
Raw formation energy in eV/atom: 0.06

a = 12.150 Å, b = 12.150 Å, c = 12.150 Å
α = 15.40°, β = 15.40°, γ = 15.40°
Fractional positions:
Se  0.118  0.118  0.118
Se  0.882  0.882  0.882
I  0.000  0.000  0.000
Re  0.500  0.500  0.500

Record 5
Entry from Alexandria: a relaxed structure of Re4Se8I (PBE-GGA).

Calculated volume in Å³ per atom: 23.1
Raw formation energy in eV/atom: 0.01

a = 3.208 Å, b = 9.799 Å, c = 9.799 Å
α = 88.46°, β = 80.58°, γ = 80.58°
Fractional positions:
Re  0.146  0.522  0.187
Re  0.667  0.187  0.478
Re  0.333  0.813  0.522
Re  0.854  0.478  0.813
Se  0.030  0.301  0.638
Se  0.664  0.647  0.025
Se  0.669  0.362  0.301
Se  0.689  0.975  0.647
Se  0.970  0.699  0.362
Se  0.336  0.353  0.975
Se  0.331  0.638  0.699
Se  0.311  0.025  0.353
I  0.000  0.000  0.000

Record 6
Entry from Alexandria: a relaxed structure of ReSe2I (PBE-GGA).

Calculated volume in Å³ per atom: 19.8
Raw formation energy in eV/atom: 1.19

a = 4.823 Å, b = 4.823 Å, c = 4.823 Å
α = 60.00°, β = 60.00°, γ = 60.00°
Site moments in Bohr magnetons follow the coordinates.
Fractional positions:
Re  0.500  0.500  0.500  0.83
Se  0.750  0.750  0.750  -0.03
Se  0.250  0.250  0.250  -0.03
I  0.000  0.000  0.000  0.05

Record 7
Entry from Alexandria: a relaxed structure of ReSiI2 (PBE-GGA).

Calculated volume in Å³ per atom: 28.9
Raw formation energy in eV/atom: 0.59

a = 9.880 Å, b = 9.880 Å, c = 7.376 Å
α = 47.95°, β = 47.95°, γ = 90.00°
Fractional positions:
Re  0.000  0.000  0.000
Re  0.750  0.250  0.500
I  0.770  0.125  0.250
I  0.375  0.230  0.750
I  0.875  0.020  0.750
I  0.980  0.625  0.250
Si  0.250  0.750  0.500
Si  0.500  0.500  0.000

Record 8
Entry from Alexandria: a relaxed structure of Re3SiI (PBE-GGA).

Calculated volume in Å³ per atom: 18.6
Raw formation energy in eV/atom: 1.71

a = 4.530 Å, b = 4.530 Å, c = 4.530 Å
α = 90.00°, β = 90.00°, γ = 90.00°
Site moments in Bohr magnetons follow the coordinates.
Fractional positions:
Re  0.000  0.500  0.000  0.34
Re  0.000  0.000  0.500  0.22
Re  0.500  0.000  0.000  0.30
I  0.500  0.500  0.500  -0.03
Si  0.000  0.000  0.000  -0.01

Record 9
Entry from Alexandria: a relaxed structure of ReSi2I (PBE-GGA).

Calculated volume in Å³ per atom: 17.1
Raw formation energy in eV/atom: 1.28

a = 4.595 Å, b = 4.595 Å, c = 4.595 Å
α = 60.00°, β = 60.00°, γ = 60.00°
Fractional positions:
Si  0.750  0.750  0.750
Si  0.250  0.250  0.250
I  0.000  0.000  0.000
Re  0.500  0.500  0.500

Record 10
Entry from Alexandria: a relaxed structure of ReSiI2 (PBE-GGA).

Calculated volume in Å³ per atom: 32.3
Raw formation energy in eV/atom: 0.17

a = 3.948 Å, b = 6.842 Å, c = 10.022 Å
α = 104.06°, β = 100.20°, γ = 90.01°
Site moments in Bohr magnetons follow the coordinates.
Fractional positions:
I  0.401  0.258  0.468  0.04
I  0.492  0.848  0.669  0.03
I  0.144  0.127  0.008  0.00
I  0.739  0.638  0.220  0.00
Si  0.058  0.346  0.817  -0.01
Si  0.632  0.680  0.979  0.00
Re  0.519  0.472  0.729  0.51
Re  0.069  0.721  0.840  0.07

Record 11
Entry from Alexandria: a relaxed structure of ReSi2I (PBE-GGA).

Calculated volume in Å³ per atom: 27.1
Raw formation energy in eV/atom: 0.75

a = 6.063 Å, b = 6.063 Å, c = 7.297 Å
α = 65.46°, β = 65.46°, γ = 90.00°
Fractional positions:
I  0.500  0.500  0.000
I  0.250  0.750  0.500
Re  0.750  0.250  0.500
Re  0.000  0.000  0.000
Si  0.375  0.282  0.750
Si  0.032  0.625  0.250
Si  0.718  0.125  0.250
Si  0.875  0.968  0.750

Record 12
Entry from Alexandria: a relaxed structure of ReSiI2 (PBE-GGA).

Calculated volume in Å³ per atom: 29.0
Raw formation energy in eV/atom: 0.09

a = 3.374 Å, b = 20.405 Å, c = 6.737 Å
α = 90.00°, β = 90.00°, γ = 90.00°
Fractional positions:
I  0.500  0.912  0.000
I  0.000  0.188  0.500
I  0.500  0.312  0.000
I  0.000  0.812  0.500
I  0.500  0.688  0.000
I  0.500  0.088  0.000
I  0.000  0.588  0.500
I  0.000  0.412  0.500
Re  0.000  0.500  0.195
Re  0.000  0.500  0.805
Re  0.500  0.000  0.305
Re  0.500  0.000  0.695
Si  0.500  0.564  0.000
Si  0.000  0.936  0.500
Si  0.500  0.436  0.000
Si  0.000  0.064  0.500

Record 13
Entry from Alexandria: a relaxed structure of ReSiI2 (PBE-GGA).

Calculated volume in Å³ per atom: 31.8
Raw formation energy in eV/atom: 0.16

a = 4.059 Å, b = 6.377 Å, c = 10.183 Å
α = 99.57°, β = 92.12°, γ = 101.38°
Site moments in Bohr magnetons follow the coordinates.
Fractional positions:
Re  0.845  0.317  0.003  0.17
Re  0.155  0.683  0.997  0.17
I  0.703  0.878  0.847  0.01
I  0.290  0.278  0.630  0.00
I  0.297  0.122  0.153  0.01
I  0.710  0.722  0.370  0.00
Si  0.364  0.369  0.878  0.00
Si  0.636  0.631  0.122  0.00

Record 14
Entry from Alexandria: a relaxed structure of ReSiI2 (PBE-GGA).

Calculated volume in Å³ per atom: 29.0
Raw formation energy in eV/atom: 0.15

a = 3.548 Å, b = 6.473 Å, c = 20.482 Å
α = 90.00°, β = 99.01°, γ = 90.00°
Fractional positions:
Si  0.801  0.000  0.520
Si  0.916  0.000  0.647
Si  0.916  0.500  0.147
Si  0.801  0.500  0.020
I  0.689  0.000  0.397
I  0.026  0.500  0.270
I  0.272  0.500  0.487
I  0.026  0.000  0.770
I  0.915  0.500  0.649
I  0.915  0.000  0.149
I  0.689  0.500  0.897
I  0.272  0.000  0.987
Re  0.358  0.803  0.582
Re  0.358  0.697  0.082
Re  0.358  0.197  0.582
Re  0.358  0.303  0.082

Record 15
Entry from Alexandria: a relaxed structure of ReSiI2 (PBE-GGA).

Calculated volume in Å³ per atom: 27.0
Raw formation energy in eV/atom: 0.22

a = 3.729 Å, b = 3.230 Å, c = 17.928 Å
α = 90.00°, β = 90.00°, γ = 90.00°
Fractional positions:
I  0.000  0.500  0.349
I  0.500  0.000  0.151
I  0.500  0.000  0.849
I  0.000  0.500  0.651
Re  0.500  0.000  0.000
Re  0.000  0.500  0.500
Si  0.000  0.500  0.000
Si  0.500  0.000  0.500

Record 16
Entry from Alexandria: a relaxed structure of ReSi3I (PBE-GGA).

Calculated volume in Å³ per atom: 22.1
Raw formation energy in eV/atom: 0.28

a = 4.800 Å, b = 4.800 Å, c = 4.800 Å
α = 90.00°, β = 90.00°, γ = 90.00°
Fractional positions:
Si  0.500  0.000  0.000
Si  0.000  0.000  0.500
Si  0.000  0.500  0.000
Re  0.000  0.000  0.000
I  0.500  0.500  0.500

Record 17
Entry from Alexandria: a relaxed structure of ReSiI2 (PBE-GGA).

Calculated volume in Å³ per atom: 21.0
Raw formation energy in eV/atom: 1.43

a = 4.916 Å, b = 4.916 Å, c = 4.916 Å
α = 60.00°, β = 60.00°, γ = 60.00°
Fractional positions:
I  0.750  0.750  0.750
I  0.250  0.250  0.250
Re  0.500  0.500  0.500
Si  0.000  0.000  0.000

Record 18
Entry from Alexandria: a relaxed structure of Re3SiI (PBE-GGA).

Calculated volume in Å³ per atom: 22.6
Raw formation energy in eV/atom: 3.08

a = 4.834 Å, b = 4.834 Å, c = 4.834 Å
α = 90.00°, β = 90.00°, γ = 90.00°
Site moments in Bohr magnetons follow the coordinates.
Fractional positions:
I  0.000  0.000  0.000  -0.03
Re  0.500  0.000  0.000  0.70
Re  0.000  0.500  0.000  0.59
Re  0.000  0.000  0.500  0.71
Si  0.500  0.500  0.500  -0.01

Record 19
Entry from Alexandria: a relaxed structure of Ta2ReSiI (PBE-GGA).

Calculated volume in Å³ per atom: 24.1
Raw formation energy in eV/atom: 2.79

a = 4.961 Å, b = 4.899 Å, c = 4.961 Å
α = 90.00°, β = 90.00°, γ = 90.00°
Site moments in Bohr magnetons follow the coordinates.
Fractional positions:
Si  0.000  0.500  0.000  -0.01
I  0.000  0.000  0.000  0.01
Re  0.500  0.500  0.500  2.23
Ta  0.000  0.000  0.500  -0.19
Ta  0.500  0.000  0.000  -0.23

Record 20
Entry from Alexandria: a relaxed structure of ReSi2TcI (PBE-GGA).

Calculated volume in Å³ per atom: 21.2
Raw formation energy in eV/atom: 1.04

a = 4.596 Å, b = 5.030 Å, c = 4.596 Å
α = 90.00°, β = 90.00°, γ = 90.00°
Fractional positions:
Re  0.000  0.500  0.000
I  0.500  0.500  0.500
Tc  0.000  0.000  0.000
Si  0.000  0.000  0.500
Si  0.500  0.000  0.000